1.
DFT (GGA-PBE) results for crystalline SrCeN at its relaxed geometry.

Cell and atoms, written as POSCAR:
```
SrCeN
1.0
-0.8119 3.1980 -1.4409
-2.6302 -2.2257 1.0402
0.1452 5.6341 12.4228
Ce Sr N
2 2 2
Direct
0.6170 0.2339 0.6083 Ce
0.6170 0.2339 0.3917 Ce
0.2719 0.5438 0.8917 Sr
0.2719 0.5438 0.1083 Sr
0.2837 0.5674 0.5000 N
0.6052 0.2104 0.0000 N
```

Properties
space group: Amm2, No. 38

2.
DFT (GGA-PBE) results for crystalline Ce2PaCd at its relaxed geometry.

Cell and atoms, written as POSCAR:
```
Ce2PaCd
1.0
-2.4092 2.7507 2.8189
-4.0512 -1.4966 -2.0020
-0.2790 -3.5181 3.1945
Pa Ce Cd
1 2 1
Direct
0.5000 0.5000 0.5000 Pa
0.0000 0.0000 0.5000 Ce
0.0000 0.5000 0.0000 Ce
0.5000 0.0000 0.0000 Cd
```

Properties
space group: P4/mmm, No. 123
energy of formation: 48 kJ/mol of formula units

3.
DFT (GGA-PBE) results for crystalline HfAg2HgB at its relaxed geometry.

Cell and atoms, written as POSCAR:
```
HfAg2HgB
1.0
-0.5421 -4.3296 0.1241
4.6296 -0.5730 0.2334
-0.2012 0.1501 4.3579
Hf Ag B Hg
1 2 1 1
Direct
0.5000 0.5000 0.5000 Hf
0.5000 0.0000 0.0000 Ag
0.0000 0.0000 0.5000 Ag
0.0000 0.0000 0.0000 B
0.0000 0.5000 0.0000 Hg
```

Properties
space group: P4/mmm, No. 123
energy of formation: 292 kJ/mol of formula units

4.
DFT (GGA-PBE) results for crystalline CoIr2W at its relaxed geometry.

Cell and atoms, written as POSCAR:
```
CoIr2W
1.0
-2.2832 3.3218 1.5712
-3.4575 1.4587 -2.1525
-3.9713 -0.6615 1.5833
Ir W Co
2 1 1
Direct
0.0000 0.0000 0.0000 Ir
0.2500 0.2500 0.2500 Ir
0.7500 0.7500 0.7500 W
0.5000 0.5000 0.5000 Co
```

Properties
space group: F-43m, No. 216
energy of formation: 99 kJ/mol of formula units

5.
DFT (GGA-PBE) results for crystalline Zr2U3NbC6 at its relaxed geometry.

Cell and atoms, written as POSCAR:
```
Zr2U3NbC6
1.0
5.8095 -0.0002 0.0005
-2.9035 5.0319 0.0005
-0.9688 -1.6775 5.6452
Zr C U Nb
2 6 3 1
Direct
0.6663 0.3337 0.0000 Zr
0.3337 0.6663 0.0000 Zr
0.7556 0.7556 0.2428 C
0.9200 0.5945 0.7593 C
0.4055 0.0800 0.2407 C
0.2444 0.2444 0.7572 C
0.0800 0.4055 0.2407 C
0.5945 0.9200 0.7593 C
0.1681 0.8319 0.5000 U
0.5000 0.5000 0.5000 U
0.8319 0.1681 0.5000 U
0.0000 0.0000 0.0000 Nb
```

Properties
space group: C2/m, No. 12
energy of formation: -544 kJ/mol of formula units

6.
DFT (GGA-PBE) results for crystalline HS3Br at its relaxed geometry.

Cell and atoms, written as POSCAR:
```
HS3Br
1.0
4.9232 0.0000 0.0000
0.0000 4.9232 0.0000
0.0000 0.0000 4.9232
S Br H
3 1 1
Direct
0.0000 0.0000 0.5000 S
0.5000 0.0000 0.0000 S
0.0000 0.5000 0.0000 S
0.0000 0.0000 0.0000 Br
0.5000 0.5000 0.5000 H
```

Properties
space group: Pm-3m, No. 221

7.
DFT (GGA-PBE) results for crystalline PaTi3S6 at its relaxed geometry.

Cell and atoms, written as POSCAR:
```
PaTi3S6
1.0
3.5865 0.0000 0.0000
0.0000 10.1924 0.0631
0.0000 -3.3464 9.8280
Ti S Pa
6 12 2
Direct
0.2500 0.5535 0.1439 Ti
0.7500 0.4465 0.8561 Ti
0.2500 0.3226 0.4921 Ti
0.2500 0.8655 0.9247 Ti
0.7500 0.6774 0.5079 Ti
0.7500 0.1345 0.0753 Ti
0.7500 0.9016 0.0869 S
0.7500 0.7983 0.7529 S
0.7500 0.3832 0.0653 S
0.2500 0.8717 0.5335 S
0.2500 0.2017 0.2471 S
0.7500 0.1283 0.4665 S
0.2500 0.0984 0.9131 S
0.7500 0.4797 0.6163 S
0.2500 0.2783 0.7289 S
0.2500 0.6168 0.9347 S
0.2500 0.5203 0.3837 S
0.7500 0.7217 0.2711 S
0.2500 0.9475 0.2898 Pa
0.7500 0.0525 0.7102 Pa
```

Properties
space group: P2_1/m, No. 11

8.
DFT (GGA-PBE) results for crystalline KAcPdAu at its relaxed geometry.

Cell and atoms, written as POSCAR:
```
KAcPdAu
1.0
-4.7257 2.5855 -0.1279
-3.2092 -0.0369 4.3282
-0.6878 4.5002 2.8824
Au Ac Pd K
1 1 1 1
Direct
0.5000 0.5000 0.5000 Au
0.7500 0.7500 0.7500 Ac
0.0000 0.0000 0.0000 Pd
0.2500 0.2500 0.2500 K
```

Properties
space group: F-43m, No. 216
energy of formation: -152 kJ/mol of formula units

Number 1: calculated total energy -5.720 eV/atom. Number 2: calculated total energy -5.444 eV/atom. Number 3: calculated total energy -3.921 eV/atom. Number 4: calculated total energy -9.190 eV/atom. Number 5: calculated total energy -10.168 eV/atom. Number 6: calculated total energy -1.858 eV/atom. Number 7: calculated total energy -7.218 eV/atom. Number 8: calculated total energy -3.812 eV/atom.